(1)
DFT (PBE) results for an optimized crystal structure of AlTl2BiTe4.

Lattice parameters (Å, degrees): 7.4521 7.1548 7.1548 74.26 58.62 58.62
Fractional coordinates of all 8 atoms:
Te 0.1112 0.3537 0.0000
Al 0.5000 0.0000 0.0000
Te 0.5351 0.0000 0.3537
Tl 0.0000 0.5000 0.5000
Tl 0.5000 0.5000 0.5000
Te 0.8888 0.0000 0.6463
Bi 0.0000 0.0000 0.0000
Te 0.4649 0.6463 0.0000

Values from the calculation:
Spin magnetization = 0.0 μB per cell
Density = 6.90 g cm⁻³
Electronic total energy = -27.5 eV for the cell shown
Crystal system = tetragonal

(2)
DFT (PBE) results for an optimized crystal structure of AlTlBiTe2.

Lattice parameters (Å, degrees): 6.1062 5.8307 6.1062 90.00 90.00 90.00
Fractional coordinates of all 5 atoms:
Tl 0.0000 0.5000 0.0000
Te 0.5000 0.0000 0.0000
Te 0.0000 0.0000 0.5000
Al 0.5000 0.5000 0.5000
Bi 0.0000 0.0000 0.0000

Values from the calculation:
Spin magnetization = 0.0 μB per cell
Density = 5.31 g cm⁻³
Electronic total energy = -13.8 eV for the cell shown
Crystal system = tetragonal

(3)
DFT (PBE) results for an optimized crystal structure of AlTl3Bi3Te8.

Lattice parameters (Å, degrees): 8.9344 8.9176 9.4472 118.05 89.97 120.05
Fractional coordinates of all 15 atoms:
Te 0.2571 0.5138 0.2706
Bi 0.0000 0.5000 0.5000
Te 0.2194 0.9881 0.7078
Al 0.0000 0.0000 0.5000
Bi 0.5000 0.0000 0.5000
Bi 0.5000 0.5000 0.5000
Te 0.2315 0.0119 0.2923
Te 0.7429 0.4862 0.7294
Te 0.7806 0.0119 0.2922
Te 0.2194 0.4392 0.7079
Tl 0.0000 0.5000 0.0000
Te 0.7685 0.9881 0.7077
Tl 0.5000 0.5000 0.0000
Te 0.7806 0.5608 0.2921
Tl 0.0000 0.0000 0.0000

Values from the calculation:
Spin magnetization = 0.0 μB per cell
Density = 6.94 g cm⁻³
Electronic total energy = -51.7 eV for the cell shown
Crystal system = monoclinic

(4)
DFT (PBE) results for an optimized crystal structure of Th2AlBi.

Lattice parameters (Å, degrees): 3.5579 3.5579 8.9010 90.00 90.00 90.00
Fractional coordinates of all 4 atoms:
Th 0.0000 0.0000 0.7712
Th 0.0000 0.0000 0.2288
Al 0.5000 0.5000 0.0000
Bi 0.5000 0.5000 0.5000

Values from the calculation:
Spin magnetization = 0.0 μB per cell
Formation energy from the elements = -0.334 eV per atom
Density = 10.32 g cm⁻³
Electronic total energy = -23.8 eV for the cell shown
ΔE to the lowest computed polymorph = 0 meV/atom
Crystal system = tetragonal

(5)
DFT (PBE) results for an optimized crystal structure of ThAl4Bi.

Lattice parameters (Å, degrees): 5.6889 5.6889 5.6889 60.00 60.00 60.00
Fractional coordinates of all 6 atoms:
Al 0.6254 0.1238 0.6254
Th 0.0000 0.0000 0.0000
Bi 0.2500 0.2500 0.2500
Al 0.6254 0.6254 0.6254
Al 0.6254 0.6254 0.1238
Al 0.1238 0.6254 0.6254

Values from the calculation:
Spin magnetization = 0.0 μB per cell
Formation energy from the elements = -0.152 eV per atom
Density = 7.00 g cm⁻³
Electronic total energy = -27.2 eV for the cell shown
Crystal system = cubic

(6)
DFT (PBE) results for an optimized crystal structure of Th2AlBi.

Lattice parameters (Å, degrees): 4.4262 4.4262 7.9881 73.92 73.92 60.00
Fractional coordinates of all 4 atoms:
Th 0.7435 0.7435 0.7695
Th 0.2565 0.2565 0.2305
Bi 0.5000 0.5000 0.5000
Al 0.0000 0.0000 0.0000

Values from the calculation:
Spin magnetization = 0.0 μB per cell
Formation energy from the elements = -0.278 eV per atom
Density = 9.05 g cm⁻³
Electronic total energy = -23.6 eV for the cell shown
ΔE to the lowest computed polymorph = 56 meV/atom
Crystal system = trigonal

(7)
DFT (PBE) results for an optimized crystal structure of Th4AlBi.

Lattice parameters (Å, degrees): 6.3267 7.6398 7.6398 90.00 90.00 90.00
Fractional coordinates of all 12 atoms:
Th 0.0000 0.1676 0.6467
Th 0.0000 0.8324 0.3533
Th 0.5000 0.3533 0.8324
Th 0.0000 0.3533 0.1676
Bi 0.7500 0.0000 0.0000
Al 0.2500 0.5000 0.5000
Bi 0.2500 0.0000 0.0000
Th 0.0000 0.6467 0.8324
Th 0.5000 0.6467 0.1676
Th 0.5000 0.1676 0.3533
Th 0.5000 0.8324 0.6467
Al 0.7500 0.5000 0.5000

Values from the calculation:
Spin magnetization = 0.0 μB per cell
Formation energy from the elements = -0.290 eV per atom
Density = 10.47 g cm⁻³
Electronic total energy = -78.1 eV for the cell shown
Crystal system = tetragonal

(8)
DFT (PBE) results for an optimized crystal structure of ThAlBi2.

Lattice parameters (Å, degrees): 4.4865 4.9712 4.9712 90.00 90.00 90.00
Fractional coordinates of all 4 atoms:
Th 0.5000 0.5000 0.5000
Bi 0.0000 0.0000 0.5000
Al 0.5000 0.0000 0.0000
Bi 0.0000 0.5000 0.0000

Values from the calculation:
Spin magnetization = 0.0 μB per cell
Formation energy from the elements = -0.263 eV per atom
Density = 10.14 g cm⁻³
Electronic total energy = -20.0 eV for the cell shown
Crystal system = tetragonal

(9)
DFT (PBE) results for an optimized crystal structure of ThAlBi.

Lattice parameters (Å, degrees): 4.3900 4.6031 8.7275 74.71 90.00 90.00
Fractional coordinates of all 6 atoms:
Al 0.7500 0.4545 0.0910
Al 0.2500 0.5455 0.9090
Th 0.7500 0.0946 0.8108
Bi 0.2500 0.2508 0.4984
Th 0.2500 0.9054 0.1892
Bi 0.7500 0.7492 0.5016

Values from the calculation:
Spin magnetization = 0.0 μB per cell
Formation energy from the elements = -0.339 eV per atom
Density = 9.14 g cm⁻³
Electronic total energy = -32.1 eV for the cell shown
Crystal system = orthorhombic

(10)
DFT (PBE) results for an optimized crystal structure of TiAl3Bi.

Lattice parameters (Å, degrees): 5.0259 5.0259 5.0259 90.00 90.00 90.00
Each line ends with the local moment (μB).
Fractional coordinates of all 5 atoms:
Ti 0.0000 0.0000 0.0000  0.12
Bi 0.5000 0.5000 0.5000  0.00
Al 0.5000 0.0000 0.0000  0.00
Al 0.0000 0.0000 0.5000  0.01
Al 0.0000 0.5000 0.0000  0.00

Values from the calculation:
Spin magnetization = 0.2 μB per cell
Formation energy from the elements = 0.697 eV per atom
Density = 4.42 g cm⁻³
Electronic total energy = -19.5 eV for the cell shown
ΔE to the lowest computed polymorph = 0 meV/atom
Crystal system = cubic

(11)
DFT (PBE) results for an optimized crystal structure of Ti5AlBi2.

Lattice parameters (Å, degrees): 4.5567 7.1429 11.7780 90.00 90.00 108.60
Fractional coordinates of all 16 atoms:
Ti 0.8744 0.7487 0.6366
Ti 0.6982 0.3964 0.9889
Al 0.6915 0.3829 0.7500
Ti 0.1256 0.2513 0.3634
Ti 0.1256 0.2513 0.1366
Ti 0.3018 0.6036 0.0111
Ti 0.2917 0.5834 0.7500
Bi 0.9091 0.8183 0.3898
Ti 0.3018 0.6036 0.4889
Ti 0.7083 0.4166 0.2500
Bi 0.0909 0.1817 0.6102
Bi 0.0909 0.1817 0.8898
Ti 0.8744 0.7487 0.8634
Al 0.3085 0.6171 0.2500
Ti 0.6982 0.3964 0.5111
Bi 0.9091 0.8183 0.1102

Values from the calculation:
Spin magnetization = 0.0 μB per cell
Formation energy from the elements = 0.219 eV per atom
Density = 6.25 g cm⁻³
Electronic total energy = -98.5 eV for the cell shown
Crystal system = orthorhombic

(12)
DFT (PBE) results for an optimized crystal structure of TiAlBi.

Lattice parameters (Å, degrees): 6.1081 3.1411 7.5125 114.72 90.00 90.00
Fractional coordinates of all 6 atoms:
Ti 0.7500 0.3692 0.2356
Ti 0.2500 0.3692 0.2356
Al 0.0000 0.6159 0.9831
Bi 0.5000 0.5556 0.9203
Al 0.5000 0.1221 0.4880
Bi 0.0000 0.1825 0.5509

Values from the calculation:
Spin magnetization = 0.0 μB per cell
Formation energy from the elements = -0.093 eV per atom
Density = 7.20 g cm⁻³
Electronic total energy = -31.6 eV for the cell shown
Crystal system = monoclinic

(13)
DFT (PBE) results for an optimized crystal structure of Ti4AlBi.

Lattice parameters (Å, degrees): 4.8540 8.3726 5.5815 90.00 90.00 96.73
Fractional coordinates of all 12 atoms:
Al 0.2251 0.3964 0.2500
Ti 0.7632 0.5604 0.2500
Ti 0.2929 0.7106 0.4850
Ti 0.8128 0.8651 0.2500
Al 0.7749 0.6036 0.7500
Ti 0.7071 0.2894 0.9850
Bi 0.3241 0.0495 0.2500
Ti 0.1872 0.1349 0.7500
Ti 0.2368 0.4396 0.7500
Bi 0.6759 0.9504 0.7500
Ti 0.7071 0.2894 0.5150
Ti 0.2929 0.7106 0.0150

Values from the calculation:
Spin magnetization = 0.0 μB per cell
Formation energy from the elements = -0.127 eV per atom
Density = 6.30 g cm⁻³
Electronic total energy = -79.9 eV for the cell shown
ΔE to the lowest computed polymorph = 0 meV/atom
Crystal system = monoclinic

(14)
DFT (PBE) results for an optimized crystal structure of TiAl3Bi.

Lattice parameters (Å, degrees): 5.3299 5.3299 5.3299 90.00 90.00 90.00
Fractional coordinates of all 5 atoms:
Ti 0.5000 0.5000 0.5000
Al 0.5000 0.0000 0.0000
Al 0.0000 0.0000 0.5000
Al 0.0000 0.5000 0.0000
Bi 0.0000 0.0000 0.0000

Values from the calculation:
Spin magnetization = 0.0 μB per cell
Formation energy from the elements = 1.457 eV per atom
Density = 3.70 g cm⁻³
Electronic total energy = -15.7 eV for the cell shown
ΔE to the lowest computed polymorph = 760 meV/atom
Crystal system = cubic

(15)
DFT (PBE) results for an optimized crystal structure of Ti2Al2Bi.

Lattice parameters (Å, degrees): 7.0570 7.0570 3.9657 90.00 90.00 90.00
Fractional coordinates of all 10 atoms:
Ti 0.1435 0.3565 0.0000
Al 0.3555 0.1444 0.5000
Al 0.8556 0.3555 0.5000
Bi 0.0000 0.0000 0.0000
Bi 0.5000 0.5000 0.0000
Ti 0.8565 0.6435 0.0000
Al 0.6444 0.8556 0.5000
Ti 0.3565 0.8565 0.0000
Al 0.1444 0.6444 0.5000
Ti 0.6435 0.1435 0.0000

Values from the calculation:
Spin magnetization = 0.0 μB per cell
Formation energy from the elements = -0.059 eV per atom
Density = 6.03 g cm⁻³
Electronic total energy = -54.9 eV for the cell shown
ΔE to the lowest computed polymorph = 0 meV/atom
Crystal system = tetragonal

(16)
DFT (PBE) results for an optimized crystal structure of Ti3AlBi.

Lattice parameters (Å, degrees): 4.7543 4.7543 4.7543 90.00 90.00 90.00
Fractional coordinates of all 5 atoms:
Ti 0.0000 0.5000 0.0000
Ti 0.0000 0.0000 0.5000
Al 0.0000 0.0000 0.0000
Ti 0.5000 0.0000 0.0000
Bi 0.5000 0.5000 0.5000

Values from the calculation:
Spin magnetization = 0.0 μB per cell
Formation energy from the elements = 0.482 eV per atom
Density = 5.87 g cm⁻³
Electronic total energy = -28.9 eV for the cell shown
ΔE to the lowest computed polymorph = 0 meV/atom
Crystal system = cubic

(17)
DFT (PBE) results for an optimized crystal structure of Ti4AlBi.

Lattice parameters (Å, degrees): 2.9233 4.6340 8.0508 90.00 89.97 90.00
Each line ends with the local moment (μB).
Fractional coordinates of all 6 atoms:
Al 0.9986 0.4973 0.9982  -0.01
Ti 0.4985 0.4973 0.3212  0.00
Ti 0.4983 0.9973 0.1545  0.34
Bi 0.9987 0.9973 0.4981  -0.01
Ti 0.4984 0.9973 0.8417  0.34
Ti 0.4990 0.4973 0.6752  0.00

Values from the calculation:
Spin magnetization = 0.8 μB per cell
Formation energy from the elements = 0.101 eV per atom
Density = 6.51 g cm⁻³
Electronic total energy = -38.6 eV for the cell shown
ΔE to the lowest computed polymorph = 227 meV/atom
Crystal system = orthorhombic

(18)
DFT (PBE) results for an optimized crystal structure of Ti12AlBi6.

Lattice parameters (Å, degrees): 7.9977 7.9977 7.9977 110.25 110.25 110.25
Fractional coordinates of all 19 atoms:
Bi 0.0978 0.6042 0.3780
Ti 0.8111 0.7008 0.5637
Ti 0.0913 0.1566 0.7455
Bi 0.6220 0.9022 0.3958
Ti 0.9087 0.8434 0.2545
Ti 0.7455 0.0913 0.1566
Bi 0.6042 0.3780 0.0978
Bi 0.3780 0.0978 0.6042
Ti 0.1566 0.7455 0.0913
Ti 0.4363 0.1889 0.2992
Bi 0.9022 0.3958 0.6220
Al 0.0000 0.0000 0.0000
Ti 0.1889 0.2992 0.4363
Ti 0.2545 0.9087 0.8434
Ti 0.7008 0.5637 0.8111
Ti 0.8434 0.2545 0.9087
Ti 0.5637 0.8111 0.7008
Bi 0.3958 0.6220 0.9022
Ti 0.2992 0.4363 0.1889

Values from the calculation:
Spin magnetization = 0.0 μB per cell
Formation energy from the elements = -0.045 eV per atom
Density = 8.07 g cm⁻³
Electronic total energy = -122.6 eV for the cell shown
Crystal system = trigonal

(19)
DFT (PBE) results for an optimized crystal structure of Ti6AlBi.

Lattice parameters (Å, degrees): 4.7365 5.7473 5.7473 114.36 90.00 90.00
Fractional coordinates of all 8 atoms:
Ti 0.0000 0.1195 0.4358
Ti 0.5000 0.8774 0.1226
Ti 0.0000 0.6200 0.3800
Ti 0.0000 0.5642 0.8805
Bi 0.0000 0.0752 0.9248
Al 0.5000 0.4223 0.5777
Ti 0.5000 0.9265 0.6055
Ti 0.5000 0.3945 0.0735

Values from the calculation:
Spin magnetization = 0.0 μB per cell
Formation energy from the elements = -0.168 eV per atom
Density = 6.10 g cm⁻³
Electronic total energy = -56.3 eV for the cell shown
Crystal system = orthorhombic

(20)
DFT (PBE) results for an optimized crystal structure of Ti3AlBi.

Lattice parameters (Å, degrees): 5.1054 5.1054 5.1054 90.00 90.00 90.00
Each line ends with the local moment (μB).
Fractional coordinates of all 5 atoms:
Bi 0.0000 0.0000 0.0000  -0.01
Ti 0.0000 0.5000 0.0000  0.86
Al 0.5000 0.5000 0.5000  -0.05
Ti 0.5000 0.0000 0.0000  0.84
Ti 0.0000 0.0000 0.5000  0.84

Values from the calculation:
Spin magnetization = 3.0 μB per cell
Formation energy from the elements = 1.120 eV per atom
Density = 4.74 g cm⁻³
Electronic total energy = -25.7 eV for the cell shown
ΔE to the lowest computed polymorph = 638 meV/atom
Crystal system = cubic

(21)
DFT (PBE) results for an optimized crystal structure of Ti2AlBi2.

Lattice parameters (Å, degrees): 7.4000 7.4000 3.9979 90.00 90.00 90.00
Fractional coordinates of all 10 atoms:
Ti 0.8559 0.6441 0.0000
Bi 0.6603 0.8397 0.5000
Ti 0.1441 0.3559 0.0000
Ti 0.6441 0.1441 0.0000
Al 0.0000 0.0000 0.0000
Bi 0.1603 0.6603 0.5000
Al 0.5000 0.5000 0.0000
Bi 0.8397 0.3397 0.5000
Bi 0.3397 0.1603 0.5000
Ti 0.3559 0.8559 0.0000

Values from the calculation:
Spin magnetization = 0.0 μB per cell
Formation energy from the elements = -0.004 eV per atom
Density = 8.20 g cm⁻³
Electronic total energy = -54.6 eV for the cell shown
Crystal system = tetragonal

(22)
DFT (PBE) results for an optimized crystal structure of Ti6AlBi2.

Lattice parameters (Å, degrees): 4.3711 6.7614 7.7750 115.77 106.39 90.00
Fractional coordinates of all 9 atoms:
Ti 0.5000 0.7828 0.0000
Ti 0.1602 0.9316 0.3216
Bi 0.6588 0.6595 0.3190
Ti 0.5000 0.2172 0.0000
Ti 0.8398 0.0684 0.6784
Al 0.0000 0.0000 0.0000
Bi 0.3412 0.3405 0.6810
Ti 0.8398 0.6101 0.6784
Ti 0.1602 0.3899 0.3216

Values from the calculation:
Spin magnetization = 0.0 μB per cell
Formation energy from the elements = 0.247 eV per atom
Density = 6.19 g cm⁻³
Electronic total energy = -56.6 eV for the cell shown
Crystal system = monoclinic

(23)
DFT (PBE) results for an optimized crystal structure of TiAl4Bi2.

Lattice parameters (Å, degrees): 5.1071 5.1071 8.1304 71.69 71.69 90.00
Fractional coordinates of all 7 atoms:
Ti 0.0000 0.0000 0.0000
Al 0.0000 0.5000 0.0000
Bi 0.3754 0.3754 0.2491
Bi 0.6246 0.6246 0.7509
Al 0.1789 0.1789 0.6423
Al 0.5000 0.0000 0.0000
Al 0.8211 0.8211 0.3577

Values from the calculation:
Spin magnetization = 0.0 μB per cell
Formation energy from the elements = 0.530 eV per atom
Density = 5.01 g cm⁻³
Electronic total energy = -26.9 eV for the cell shown
Crystal system = tetragonal

(24)
DFT (PBE) results for an optimized crystal structure of Ti2Al2Bi.

Lattice parameters (Å, degrees): 7.8949 7.8949 3.1460 90.00 90.00 90.00
Each line ends with the local moment (μB).
Fractional coordinates of all 10 atoms:
Ti 0.3226 0.1774 0.5000  0.65
Al 0.1161 0.3839 0.0000  0.00
Ti 0.6774 0.8226 0.5000  0.65
Al 0.3839 0.8839 0.0000  0.00
Ti 0.8226 0.3226 0.5000  0.67
Bi 0.5000 0.5000 0.0000  0.01
Bi 0.0000 0.0000 0.0000  0.01
Ti 0.1774 0.6774 0.5000  0.67
Al 0.8839 0.6161 0.0000  0.00
Al 0.6161 0.1161 0.0000  0.00

Values from the calculation:
Spin magnetization = 3.7 μB per cell
Formation energy from the elements = 0.014 eV per atom
Density = 6.07 g cm⁻³
Electronic total energy = -54.2 eV for the cell shown
ΔE to the lowest computed polymorph = 72 meV/atom
Crystal system = tetragonal